# 1
# Ho4TePt

A relaxed Ho4TePt crystal (PBE, Alexandria via LeMat-Bulk).

Calculated values
Formation energy without anion corrections   -603 meV/atom
Density   7.24 g cm⁻³

a = 19.194 Å, b = 5.427 Å, c = 9.495 Å
α = 90.00°, β = 114.35°, γ = 90.00°
Space group C2/m (No. 12)
One atom of each set of equivalent atoms:
Ho (0.028, 0.000, 0.206)
Ho (0.099, 0.500, 0.005)
Ho (0.204, 0.000, 0.895)
Ho (0.247, 0.500, 0.679)
Te (0.166, 0.000, 0.539)
Pt (0.117, 0.000, 0.054)

---

# 2
# Ho4Te3Pt

A relaxed Ho4Te3Pt crystal (PBE, Alexandria via LeMat-Bulk).

Calculated values
Formation energy without anion corrections   -1284 meV/atom
Density   9.03 g cm⁻³

a = 8.867 Å, b = 12.277 Å, c = 4.181 Å
α = 90.00°, β = 90.00°, γ = 90.00°
Space group Cmmm (No. 65)
One atom of each set of equivalent atoms:
Ho (0.000, 0.233, 0.000)
Ho (0.211, 0.000, 0.500)
Te (0.000, 0.500, 0.000)
Te (0.250, 0.250, 0.500)
Pt (0.000, 0.000, 0.000)

---

# 3
# Ho6Te5Pt

A relaxed Ho6Te5Pt crystal (PBE, Alexandria via LeMat-Bulk).

Calculated values
Formation energy without anion corrections   -1323 meV/atom
Density   8.66 g cm⁻³

a = 7.561 Å, b = 13.041 Å, c = 7.514 Å
α = 90.00°, β = 109.45°, γ = 90.00°
Space group C2/m (No. 12)
One atom of each set of equivalent atoms:
Ho (0.218, 0.000, 0.266)
Ho (0.222, 0.149, 0.724)
Te (0.000, 0.181, 0.000)
Te (0.000, 0.336, 0.500)
Te (0.000, 0.500, 0.000)
Pt (0.000, 0.000, 0.500)

---

# 4
# HoThTePt

A relaxed HoThTePt crystal (PBE, Alexandria via LeMat-Bulk).

Calculated values
Formation energy without anion corrections   -1201 meV/atom
Density   10.40 g cm⁻³

a = 4.1936 Å, b = 4.1936 Å, c = 22.6312 Å
α = 90.00°, β = 90.00°, γ = 120.00°
Space group R3m (No. 160, hexagonal axes)
One atom of each set of equivalent atoms:
Ho (0.0000, 0.0000, 0.0000)
Th (0.0000, 0.0000, 0.8058)
Te (0.0000, 0.0000, 0.2383)
Pt (0.0000, 0.0000, 0.4029)

---

# 5
# Ho6TlTe3Pt2

A relaxed Ho6TlTe3Pt2 crystal (PBE, Alexandria via LeMat-Bulk).

Calculated values
Formation energy without anion corrections   -1094 meV/atom
Density   9.82 g cm⁻³

a = 19.269 Å, b = 4.139 Å, c = 8.878 Å
α = 90.00°, β = 110.03°, γ = 90.00°
Space group C2/m (No. 12)
One atom of each set of equivalent atoms:
Ho (0.006, 0.000, 0.258)
Ho (0.170, 0.500, 0.104)
Ho (0.180, 0.500, 0.553)
Tl (0.000, 0.500, 0.000)
Te (0.000, 0.500, 0.500)
Te (0.164, 0.000, 0.827)
Pt (0.163, 0.000, 0.321)

---

# 6
# HoTh2Pt4

A relaxed HoTh2Pt4 crystal (PBE, Alexandria via LeMat-Bulk).

Calculated values
Energy of formation   -117.0 kJ/mol of atoms
Density   14.56 g cm⁻³

a = 8.691 Å, b = 8.691 Å, c = 8.509 Å
α = 90.00°, β = 90.00°, γ = 90.00°
Space group I-42d (No. 122)
One atom of each set of equivalent atoms:
Ho (0.000, 0.000, 0.000)
Th (0.124, 0.750, 0.625)
Pt (0.079, 0.668, 0.963)

---

# 7
# Ho2ThPt9

A relaxed Ho2ThPt9 crystal (PBE, Alexandria via LeMat-Bulk).

Calculated values
Energy of formation   -105.1 kJ/mol of atoms
Density   17.93 g cm⁻³

a = 4.156 Å, b = 4.156 Å, c = 12.427 Å
α = 90.00°, β = 90.00°, γ = 90.00°
Space group P4/mmm (No. 123)
One atom of each set of equivalent atoms:
Ho (0.000, 0.000, 0.162)
Th (0.000, 0.000, 0.500)
Pt (0.000, 0.500, 0.000)
Pt (0.000, 0.500, 0.328)
Pt (0.500, 0.500, 0.164)
Pt (0.500, 0.500, 0.500)

---

# 8
# HoThPt6

A relaxed HoThPt6 crystal (PBE, Alexandria via LeMat-Bulk).

Calculated values
Energy of formation   -106.8 kJ/mol of atoms
Density   17.91 g cm⁻³

a = 4.180 Å, b = 4.180 Å, c = 8.317 Å
α = 90.00°, β = 90.00°, γ = 90.00°
Space group P4/mmm (No. 123)
One atom of each set of equivalent atoms:
Ho (0.000, 0.000, 0.000)
Th (0.000, 0.000, 0.500)
Pt (0.000, 0.500, 0.245)
Pt (0.500, 0.500, 0.000)
Pt (0.500, 0.500, 0.500)

---

# 9
# Ho3ThPt12

A relaxed Ho3ThPt12 crystal (PBE, Alexandria via LeMat-Bulk).

Calculated values
Energy of formation   -103.9 kJ/mol of atoms
Density   17.94 g cm⁻³

a = 4.145 Å, b = 4.145 Å, c = 16.531 Å
α = 90.00°, β = 90.00°, γ = 90.00°
Space group P4/mmm (No. 123)
One atom of each set of equivalent atoms:
Ho (0.000, 0.000, 0.000)
Ho (0.000, 0.000, 0.245)
Th (0.000, 0.000, 0.500)
Pt (0.000, 0.500, 0.123)
Pt (0.000, 0.500, 0.371)
Pt (0.500, 0.500, 0.000)
Pt (0.500, 0.500, 0.246)
Pt (0.500, 0.500, 0.500)

---

# 10
# Ho2Th2Pt3

A relaxed Ho2Th2Pt3 crystal (PBE, Alexandria via LeMat-Bulk).

Calculated values
Energy of formation   -99.0 kJ/mol of atoms
Density   12.55 g cm⁻³

a = 17.501 Å, b = 4.142 Å, c = 12.812 Å
α = 90.00°, β = 128.23°, γ = 90.00°
Space group C2/m (No. 12)
One atom of each set of equivalent atoms:
Ho (0.016, 0.000, 0.354)
Ho (0.204, 0.500, 0.784)
Th (0.081, 0.500, 0.948)
Th (0.199, 0.500, 0.338)
Pt (0.082, 0.000, 0.143)
Pt (0.146, 0.500, 0.516)
Pt (0.180, 0.000, 0.906)

---

# 11
# Ho3ThPt2

A relaxed Ho3ThPt2 crystal (PBE, Alexandria via LeMat-Bulk).

Calculated values
Energy of formation   -87.3 kJ/mol of atoms
Density   12.16 g cm⁻³

a = 4.785 Å, b = 8.970 Å, c = 7.109 Å
α = 90.00°, β = 90.00°, γ = 90.00°
Space group Pmc2_1 (No. 26)
One atom of each set of equivalent atoms:
Ho (0.000, 0.080, 0.000)
Ho (0.000, 0.322, 0.370)
Ho (0.500, 0.159, 0.655)
Th (0.500, 0.417, 0.015)
Pt (0.000, 0.342, 0.771)
Pt (0.500, 0.157, 0.248)

---

# 12
# HoTh2Pt9

A relaxed HoTh2Pt9 crystal (PBE, Alexandria via LeMat-Bulk).

Calculated values
Energy of formation   -107.5 kJ/mol of atoms
Density   17.88 g cm⁻³

a = 4.200 Å, b = 4.200 Å, c = 12.552 Å
α = 90.00°, β = 90.00°, γ = 90.00°
Space group P4/mmm (No. 123)
One atom of each set of equivalent atoms:
Ho (0.000, 0.000, 0.000)
Th (0.000, 0.000, 0.328)
Pt (0.000, 0.500, 0.162)
Pt (0.000, 0.500, 0.500)
Pt (0.500, 0.500, 0.000)
Pt (0.500, 0.500, 0.332)

---

The calculation returns the following energy values, one per record and in order: -31.1; -44.0; -65.1; -26.0; -64.5; -52.1; -84.0; -57.1; -110.9; -49.3; -38.7; -87.2 eV/f.u..